Entry 1:
DFT (PBE) results for LiAg2Au3 after structural relaxation.

Output
Magnetic moment   0.00 μB per formula unit
Density   12.67 Mg/m³
Energy relative to the elements   -0.123 eV/atom
N(E_F)   1.5 states/eV/f.u.
Relative energy among the computed polymorphs   0.0938 eV/atom

```
data_LiAg2Au3
_symmetry_space_group_name_H-M 'C 1 2/c 1'
_symmetry_Int_Tables_number 15
_cell_length_a 12.163
_cell_length_b 8.076
_cell_length_c 4.704
_cell_angle_alpha 90.00
_cell_angle_beta 112.63
_cell_angle_gamma 90.00
loop_
_symmetry_equiv_pos_as_xyz
'x,y,z'
'-x,-y,-z'
'-x,y,-z+1/2'
'x,-y,z+1/2'
'x+1/2,y+1/2,z'
'-x+1/2,-y+1/2,-z'
'-x+1/2,y+1/2,-z+1/2'
'x+1/2,-y+1/2,z+1/2'
loop_
_atom_site_label
_atom_site_type_symbol
_atom_site_fract_x
_atom_site_fract_y
_atom_site_fract_z
Li1 Li 0.000 0.086 0.250
Ag1 Ag 0.125 0.256 0.875
Au1 Au 0.000 0.406 0.250
Au2 Au 0.232 0.084 0.481
```



Entry 2:
DFT (PBE) results for Ba2SmPuS5 after structural relaxation.

Output
Magnetic moment   4.86 μB per formula unit
ΔE_f (raw)   -1.711 eV/atom
Density   5.00 Mg/m³
N(E_F)   7.0 states/eV/f.u.

```
data_Ba2SmPuS5
_symmetry_space_group_name_H-M 'P 4/m m m'
_symmetry_Int_Tables_number 123
_symmetry_space_group_name_Hall '-P 4 2'
_cell_length_a 5.029
_cell_length_b 5.029
_cell_length_c 10.886
_cell_angle_alpha 90.00
_cell_angle_beta 90.00
_cell_angle_gamma 90.00
loop_
_atom_site_label
_atom_site_type_symbol
_atom_site_fract_x
_atom_site_fract_y
_atom_site_fract_z
Ba1 Ba 0.000 0.000 0.210
Sm1 Sm 0.500 0.500 0.500
Pu1 Pu 0.500 0.500 0.000
S1 S 0.000 0.000 0.500
S2 S 0.000 0.500 0.000
S3 S 0.500 0.500 0.257
```